No. 1
4
Lattice="3.432 0.000 0.000 0.000 4.987 0.000 -1.716 -2.493 5.261" Properties=species:S:1:pos:R:3 comment="GGA-PBEsol MgZrSc2, optimized geometry" formation_energy_ev_per_atom=0.059 space_group="No. 44" crystal_system=orthorhombic total_energy_ry_per_atom=-0.43699 pbc="T T T"
Sc 1.716 2.493 5.042
Sc 1.716 0.000 2.647
Mg 0.000 2.493 2.637
Zr 1.715 2.493 0.197


No. 2
4
Lattice="5.473 0.000 0.000 2.736 4.739 0.000 2.736 1.580 4.468" Properties=species:S:1:pos:R:3 comment="GGA-PBEsol K2CoAu, optimized geometry" formation_energy_ev_per_atom=0.794 space_group="No. 225" crystal_system=cubic total_energy_ry_per_atom=-0.19758 de_polymorph_ev_per_atom=0.296 pbc="T T T"
Au 0.000 0.000 0.000
Co 5.473 3.160 2.234
K 2.736 1.580 1.117
K 8.209 4.739 3.351


No. 3
22
Lattice="7.238 0.011 0.011 0.038 7.238 0.011 0.038 0.038 7.238" Properties=species:S:1:pos:R:3 comment="GGA-PBEsol Ba4IrO6, optimized geometry" space_group="No. 167" crystal_system=trigonal total_energy_ry_per_atom=-0.49104 formation_energy_uncorrected_ev_per_atom=-2.14 pbc="T T T"
Ba 0.885 2.808 5.434
Ba 1.867 6.424 4.473
Ba 4.504 1.850 6.407
Ba 5.487 5.466 5.445
Ba 1.829 1.822 1.815
Ba 2.811 5.438 0.854
Ba 5.448 0.864 2.788
Ba 6.431 4.480 1.826
Ir 0.000 0.000 0.000
Ir 3.658 3.644 3.630
O 0.513 5.321 6.718
O 1.993 0.568 6.793
O 3.222 4.182 5.584
O 1.703 4.087 3.099
O 0.575 6.800 1.965
O 3.121 1.692 4.076
O 4.194 5.596 3.185
O 5.612 3.200 4.161
O 6.740 0.488 5.295
O 4.094 3.106 1.676
O 5.323 6.720 0.468
O 6.802 1.967 0.542


No. 4
3
Lattice="3.431 0.000 0.000 0.000 3.431 0.000 -1.716 -1.716 5.758" Properties=species:S:1:pos:R:3 comment="GGA-PBEsol YMgAg, optimized geometry" formation_energy_ev_per_atom=-0.192 space_group="No. 107" crystal_system=tetragonal total_energy_ry_per_atom=-0.30442 pbc="T T T"
Y 1.716 1.716 1.773
Mg 0.000 0.000 4.123
Ag 1.716 1.716 5.620


No. 5
5
Lattice="3.693 0.000 0.000 0.000 3.693 0.000 0.000 0.000 3.693" Properties=species:S:1:pos:R:3 comment="GGA-PBEsol SnMoH3, optimized geometry" space_group="No. 221" crystal_system=cubic total_energy_ry_per_atom=-0.28585 pbc="T T T"
H 0.000 1.846 0.000
H 0.000 0.000 1.846
H 1.846 0.000 0.000
Mo 1.846 1.846 1.846
Sn 0.000 0.000 0.000


No. 6
4
Lattice="-0.753 1.982 2.991 1.083 -4.814 3.464 5.800 1.595 0.403" Properties=species:S:1:pos:R:3 comment="GGA-PBEsol Ca2YBr, optimized geometry" space_group="No. 123" crystal_system=tetragonal total_energy_ry_per_atom=-0.25837 de_polymorph_ev_per_atom=0.351 formation_energy_uncorrected_ev_per_atom=-0.28 pbc="T T T"
Y 3.065 -0.618 3.429
Ca 2.900 0.798 0.201
Ca 0.542 -2.407 1.732
Br -0.376 0.991 1.495


No. 7
4
Lattice="-2.572 1.058 0.524 -2.304 -1.552 -0.536 -1.322 -3.366 7.954" Properties=species:S:1:pos:R:3 comment="GGA-PBEsol LiBeAu2, optimized geometry" formation_energy_ev_per_atom=-0.015 space_group="No. 160" crystal_system=trigonal total_energy_ry_per_atom=-0.25495 pbc="T T T"
Au -4.872 -0.530 0.077
Au -4.658 -2.790 5.694
Be -3.095 -1.968 4.065
Li -1.546 -0.996 2.062


No. 8
5
Lattice="4.621 0.000 0.000 0.000 4.621 0.000 0.000 0.000 4.621" Properties=species:S:1:pos:R:3 comment="GGA-PBEsol Sn3BC, optimized geometry" formation_energy_ev_per_atom=1.622 space_group="No. 221" crystal_system=cubic total_energy_ry_per_atom=-0.31349 pbc="T T T"
C 2.310 2.310 2.310
B 0.000 0.000 0.000
Sn 0.000 2.310 0.000
Sn 0.000 0.000 2.310
Sn 2.310 0.000 0.000


No. 9
8
Lattice="-1.625 3.190 -4.267 -5.009 0.605 2.360 5.791 4.271 4.624" Properties=species:S:1:pos:R:3 comment="GGA-PBEsol KSi2Mo, optimized geometry" space_group="No. 141" crystal_system=tetragonal total_energy_ry_per_atom=-0.40811 de_polymorph_ev_per_atom=0.501 formation_energy_uncorrected_ev_per_atom=0.55 pbc="T T T"
Mo 0.000 0.000 0.000
Mo -1.268 3.387 3.015
Si -1.056 5.726 2.866
Si -0.243 4.131 4.999
Si -3.139 1.996 2.687
Si -0.634 1.693 1.507
K -3.317 1.898 -0.954
K 0.424 4.680 -0.298


No. 10
4
Lattice="-3.150 -1.486 1.393 2.672 -2.721 3.140 -1.616 5.738 2.468" Properties=species:S:1:pos:R:3 comment="GGA-PBEsol ZnOsBr2, optimized geometry" space_group="No. 65" crystal_system=orthorhombic total_energy_ry_per_atom=-0.29521 de_polymorph_ev_per_atom=0.175 formation_energy_uncorrected_ev_per_atom=0.37 pbc="T T T"
Br -0.884 4.042 2.313
Br 1.940 -1.025 3.295
Os -2.383 2.126 1.931
Zn -1.047 0.765 3.501


No. 11
3
Lattice="4.044 0.000 0.000 0.000 4.044 0.000 -2.022 -2.022 6.154" Properties=species:S:1:pos:R:3 comment="GGA-PBEsol BaScPb, optimized geometry" formation_energy_ev_per_atom=-0.206 space_group="No. 107" crystal_system=tetragonal total_energy_ry_per_atom=-0.32757 pbc="T T T"
Ba 0.000 0.000 0.083
Pb 2.022 2.022 2.632
Sc 0.000 0.000 3.439


No. 12
4
Lattice="-2.726 -3.364 1.351 -0.142 -3.883 -2.340 1.771 -3.782 1.772" Properties=species:S:1:pos:R:3 comment="GGA-PBEsol CsFe2Mo, optimized geometry" formation_energy_ev_per_atom=1.862 space_group="No. 225" crystal_system=cubic total_energy_ry_per_atom=-0.42607 pbc="T T T"
Cs -0.549 -5.514 0.391
Mo 0.000 0.000 0.000
Fe -0.274 -2.757 0.196
Fe -0.823 -8.272 0.587


No. 13
5
Lattice="4.678 0.000 0.000 0.000 4.678 0.000 -2.339 -2.339 6.451" Properties=species:S:1:pos:R:3 comment="GGA-PBEsol KSn2Hg2, optimized geometry" formation_energy_ev_per_atom=-0.188 space_group="No. 139" crystal_system=tetragonal total_energy_ry_per_atom=-0.17236 pbc="T T T"
K 0.000 0.000 0.000
Hg 0.000 0.000 5.077
Hg 2.339 2.339 1.375
Sn 0.000 2.339 3.226
Sn 2.339 0.000 3.226


No. 14
4
Lattice="-0.214 -2.189 -2.792 -2.323 -2.194 1.899 -3.739 5.548 -1.800" Properties=species:S:1:pos:R:3 comment="GGA-PBEsol ZrCdSe2, optimized geometry" space_group="No. 44" crystal_system=orthorhombic total_energy_ry_per_atom=-0.38908 formation_energy_uncorrected_ev_per_atom=-0.80 pbc="T T T"
Cd -3.299 0.335 -0.010
Se -0.334 0.224 -0.150
Se -3.096 0.909 -2.738
Zr -4.554 3.052 -2.043


No. 15
5
Lattice="-0.940 -2.559 4.398 5.018 0.276 1.233 -0.845 4.489 2.431" Properties=species:S:1:pos:R:3 comment="GGA-PBEsol YLuSe3, optimized geometry" space_group="No. 221" crystal_system=cubic total_energy_ry_per_atom=-0.42284 de_polymorph_ev_per_atom=0.774 formation_energy_uncorrected_ev_per_atom=-1.10 pbc="T T T"
Y 1.616 1.103 4.031
Lu 0.000 0.000 0.000
Se 2.509 0.138 0.617
Se -0.422 2.244 1.216
Se -0.470 -1.279 2.199


No. 16
5
Lattice="4.526 0.000 0.000 0.000 4.526 0.000 0.000 0.000 5.114" Properties=species:S:1:pos:R:3 comment="GGA-PBEsol Mn2ReAgTe, optimized geometry" space_group="No. 123" crystal_system=tetragonal total_energy_ry_per_atom=-0.48412 formation_energy_uncorrected_ev_per_atom=1.35 pbc="T T T"
Re 0.000 0.000 0.000
Te 2.263 2.263 2.557
Ag 0.000 0.000 2.557
Mn 0.000 2.263 0.000
Mn 2.263 0.000 0.000


No. 17
28
Lattice="5.911 0.000 0.000 -2.956 5.170 0.031 0.000 -0.239 10.023" Properties=species:S:1:pos:R:3 comment="GGA-PBEsol Li4Ti3Mn3Sb2O16, optimized geometry" space_group="No. 8" crystal_system=monoclinic total_energy_ry_per_atom=-0.56308 formation_energy_uncorrected_ev_per_atom=-2.12 pbc="T T T"
Sb 0.000 3.223 5.000
Sb 2.956 1.749 0.127
Ti 1.432 4.059 7.907
Ti -1.432 4.059 7.907
Ti 2.956 3.336 2.818
O 1.562 4.107 3.893
O 0.000 4.878 6.909
O 0.000 3.315 9.001
O 2.956 4.986 7.050
O 0.000 -0.022 1.917
O -1.562 4.107 3.893
O 1.438 2.565 6.835
O -1.438 2.565 6.835
O 2.956 3.297 9.121
O 0.000 1.442 3.978
O 4.242 2.567 1.481
O 1.669 2.567 1.481
O 2.956 1.619 3.808
O 4.446 0.643 9.136
O 2.956 0.210 1.504
O 1.465 0.643 9.136
Mn 0.000 1.557 7.961
Mn 4.406 0.779 2.800
Mn 1.505 0.779 2.800
Li 0.000 3.483 0.965
Li 0.000 0.054 0.113
Li 2.956 4.963 5.109
Li 2.956 1.554 6.181


No. 18
4
Lattice="-1.306 -2.043 1.097 0.410 -1.945 -3.134 4.502 -1.921 1.781" Properties=species:S:1:pos:R:3 comment="GGA-PBEsol NiOsRu2, optimized geometry" formation_energy_ev_per_atom=0.122 space_group="No. 47" crystal_system=orthorhombic total_energy_ry_per_atom=-0.70244 de_polymorph_ev_per_atom=0.000 pbc="T T T"
Ni -0.448 -1.994 -1.019
Os 1.803 -2.955 -0.128
Ru 3.409 -1.455 1.349
Ru 1.092 -0.466 0.432


No. 19
8
Lattice="-2.062 -1.049 3.683 2.248 -3.892 0.150 5.143 3.116 3.766" Properties=species:S:1:pos:R:3 comment="GGA-PBEsol ZrAlSi2, optimized geometry" space_group="No. 51" crystal_system=orthorhombic total_energy_ry_per_atom=-0.45754 formation_energy_uncorrected_ev_per_atom=-0.06 pbc="T T T"
Si 0.093 -2.470 1.917
Si -1.031 -0.524 1.842
Si 5.146 1.804 3.394
Si 2.245 -2.580 0.522
Al 2.391 0.135 1.377
Al 5.000 -0.911 2.539
Zr 2.914 0.551 4.356
Zr 2.416 -2.377 3.243


No. 20
22
Lattice="-0.217 -3.153 1.491 2.046 -1.756 -7.508 12.680 2.293 6.695" Properties=species:S:1:pos:R:3 comment="GGA-PBEsol Hf7P4, optimized geometry" formation_energy_ev_per_atom=-1.149 space_group="No. 12" crystal_system=monoclinic total_energy_ry_per_atom=-0.73051 pbc="T T T"
Hf 1.687 -2.192 -4.389
Hf 12.822 -0.423 5.067
Hf 8.492 1.512 4.434
Hf 6.017 -4.127 -3.756
Hf 7.547 0.065 1.238
Hf 6.962 -2.681 -0.560
Hf 3.602 -3.075 -1.883
Hf 10.906 0.460 2.561
Hf 9.803 -2.016 1.260
Hf 4.706 -0.599 -0.582
Hf 2.302 -1.651 0.938
Hf 12.207 -0.964 -0.260
Hf 6.232 -0.430 4.093
Hf 0.000 0.000 0.000
P 3.459 -4.151 -4.177
P 11.050 1.535 4.855
P 8.773 -0.924 3.419
P 5.736 -1.692 -2.740
P 5.446 -1.495 1.726
P 9.063 -1.120 -1.048
P 12.414 -1.694 2.322
P 2.095 -0.922 -1.644


No. 21
8
Lattice="4.644 0.000 0.000 0.000 5.651 0.000 0.000 -2.826 4.894" Properties=species:S:1:pos:R:3 comment="GGA-PBEsol LiAl3, optimized geometry" formation_energy_ev_per_atom=-0.063 space_group="No. 194" crystal_system=hexagonal total_energy_ry_per_atom=-0.26630 pbc="T T T"
Al 3.483 -1.414 4.079
Al 3.483 1.414 4.079
Al 3.483 0.000 1.630
Al 1.161 4.239 0.815
Al 1.161 1.412 0.815
Al 1.161 2.826 3.264
Li 3.483 2.826 1.631
Li 1.161 0.000 3.263


No. 22
5
Lattice="4.912 0.000 0.000 0.000 4.912 0.000 -2.456 -2.456 7.954" Properties=species:S:1:pos:R:3 comment="GGA-PBEsol K2SrBi2, optimized geometry" formation_energy_ev_per_atom=-0.367 space_group="No. 139" crystal_system=tetragonal total_energy_ry_per_atom=-0.21331 pbc="T T T"
Sr 0.000 0.000 0.000
K 0.000 2.456 3.977
K 2.456 0.000 3.977
Bi 0.000 0.000 6.462
Bi 2.456 2.456 1.492


No. 23
4
Lattice="-2.833 0.750 -3.656 -4.528 -1.173 0.266 -3.277 3.341 0.222" Properties=species:S:1:pos:R:3 comment="GGA-PBEsol TmInPd2, optimized geometry" formation_energy_ev_per_atom=-0.866 space_group="No. 225" crystal_system=cubic total_energy_ry_per_atom=-0.42746 pbc="T T T"
Tm -5.319 1.459 -1.584
Pd -7.978 2.188 -2.376
Pd -2.659 0.729 -0.792
In 0.000 0.000 0.000


No. 24
4
Lattice="-2.580 -2.736 2.419 0.797 -4.400 0.006 1.646 -1.969 3.662" Properties=species:S:1:pos:R:3 comment="GGA-PBEsol NbMo2Pt, optimized geometry" formation_energy_ev_per_atom=0.098 space_group="No. 225" crystal_system=cubic total_energy_ry_per_atom=-0.75203 pbc="T T T"
Mo -0.034 -2.276 1.522
Mo -0.103 -6.829 4.565
Nb 0.000 0.000 0.000
Pt -0.069 -4.552 3.044


No. 25
9
Lattice="-0.571 -1.469 -4.323 -6.841 -2.433 1.731 0.962 6.969 -2.494" Properties=species:S:1:pos:R:3 comment="GGA-PBEsol YMgTl, optimized geometry" formation_energy_ev_per_atom=-0.419 space_group="No. 189" crystal_system=hexagonal total_energy_ry_per_atom=-0.30441 pbc="T T T"
Mg -4.734 2.698 -2.740
Mg -0.052 0.961 -2.769
Mg -1.950 -1.326 -1.741
Tl 0.000 0.000 0.000
Tl -4.525 -0.034 -1.839
Tl -1.924 3.101 -3.248
Y -2.530 1.952 -0.329
Y 0.548 3.969 -1.421
Y -3.896 -1.386 0.986


No. 26
4
Lattice="5.038 0.000 0.000 0.000 5.033 0.000 -2.519 -2.517 4.745" Properties=species:S:1:pos:R:3 comment="GGA-PBEsol BaHg2Br, optimized geometry" space_group="No. 119" crystal_system=tetragonal total_energy_ry_per_atom=-0.15542 de_polymorph_ev_per_atom=0.000 formation_energy_uncorrected_ev_per_atom=-0.83 pbc="T T T"
Hg 0.000 0.000 0.002
Hg 2.519 0.000 2.373
Br 0.000 2.517 2.371
Ba 0.000 0.000 4.744